No. 1
The following is a DFT calculation (PBE-GGA) of an optimized crystal structure of CaAgMo.

Cell lengths 5.031, 5.031, 2.805 Å; angles 90.00, 90.00, 120.00 degrees
Sites, in units of the cell vectors:
Ca 0.000 0.000 0.000
Ag 0.333 0.667 0.642
Mo 0.667 0.333 0.382

Properties
- Total magnetization: 1.5 μB/cell
- Density of states at the Fermi level: 0.696 states/eV/atom
- Mass density: 6586 kg/m3
- Polymorph energy (0 for the lowest one): 0.185 eV/atom
- DFT formation energy: 735 meV/atom

=====

No. 2
The following is a DFT calculation (PBE-GGA) of an optimized crystal structure of LaNd2ErTl4.

Cell lengths 9.582, 9.582, 9.582 Å; angles 33.36, 33.36, 33.36 degrees
Sites, in units of the cell vectors:
La 0.000 0.000 0.000
Nd 0.249 0.249 0.249
Nd 0.751 0.751 0.751
Er 0.500 0.500 0.500
Tl 0.127 0.127 0.127
Tl 0.377 0.377 0.377
Tl 0.623 0.623 0.623
Tl 0.873 0.873 0.873

Properties
- Total magnetization: 0.0 μB/cell
- Density of states at the Fermi level: 0.946 states/eV/atom
- Mass density: 9897 kg/m3
- DFT formation energy: -368 meV/atom

=====

no.,total DFT energy (no corrections) (eV per cell)
1,-13.48
2,-31.43